DFT (PBE-GGA) results for an optimized crystal structure of Pu2PaAs.

energy relative to the elements = -0.45 eV per formula unit
energy above the lowest structure with this stoichiometry = 1.180 eV/f.u.

```
Pu2PaAs
1.0
0.000 3.547 3.547
3.547 0.000 3.547
3.547 3.547 0.000
Pu Pa As
2 1 1
Cartesian
1.773 1.773 1.773
5.320 5.320 5.320
0.000 0.000 0.000
3.547 3.547 3.547
```

---

DFT (PBE-GGA) results for an optimized crystal structure of La2PmYHo5.

energy relative to the elements = 2.28 eV per formula unit

```
La2PmYHo5
1.0
-4.339 4.339 7.893
4.339 -4.339 7.893
4.339 4.339 -7.893
La Pm Y Ho
4 2 2 10
Cartesian
5.359 1.020 0.000
1.020 3.319 0.000
3.319 1.020 7.893
-1.020 3.319 7.893
0.000 0.000 3.946
0.000 0.000 11.839
4.339 0.000 3.946
0.000 4.339 3.946
0.000 0.000 0.000
2.463 1.876 -2.227
2.463 -1.876 5.666
2.463 1.876 2.227
2.463 -1.876 10.120
0.000 0.000 7.893
1.876 6.215 -2.227
1.876 2.463 5.666
1.876 6.215 2.227
1.876 2.463 10.120
```

---

DFT (PBE-GGA) results for an optimized crystal structure of Dy3ThHg2.

energy relative to the elements = -1.97 eV per formula unit

```
Dy3ThHg2
1.0
3.652 0.000 0.000
0.000 3.652 0.000
0.000 0.000 12.383
Dy Th Hg
3 1 2
Cartesian
0.000 0.000 0.000
0.000 0.000 3.818
0.000 0.000 8.565
1.826 1.826 6.191
1.826 1.826 1.903
1.826 1.826 10.480
```

---

DFT (PBE-GGA) results for an optimized crystal structure of Ni4Pd3.

energy relative to the elements = 3.31 eV per formula unit

```
Ni4Pd3
1.0
10.973 0.000 0.000
-5.487 9.503 0.000
0.000 0.000 2.592
Ni Pd
8 6
Cartesian
-2.086 6.631 0.648
0.787 4.381 0.648
0.000 6.335 1.944
4.188 1.509 1.944
1.299 7.994 0.648
5.487 3.168 0.648
4.700 5.122 1.944
7.572 2.872 1.944
-1.616 4.160 0.648
-1.076 8.822 0.648
2.795 3.479 1.944
2.692 6.024 0.648
6.563 0.681 1.944
7.102 5.343 1.944
```

---

DFT (PBE-GGA) results for an optimized crystal structure of Zr2HOsSe.

E_tot = -6.90 eV/atom

```
Zr2HOsSe
1.0
5.116 0.000 0.000
0.000 5.116 0.000
0.000 0.000 3.295
Zr H Os Se
2 1 1 1
Cartesian
0.000 2.558 0.000
2.558 0.000 0.000
0.000 0.000 1.647
2.558 2.558 1.647
0.000 0.000 0.000
```

---

DFT (PBE-GGA) results for an optimized crystal structure of Sr3La.

energy relative to the elements = 0.51 eV per formula unit
energy above the lowest structure with this stoichiometry = 0.137 eV/f.u.

```
Sr3La
1.0
-2.216 3.289 6.587
2.216 -3.289 6.587
2.216 3.289 -6.587
Sr La
3 1
Cartesian
0.000 0.000 0.000
2.216 0.000 3.365
0.000 3.289 3.222
0.000 0.000 6.587
```

---

DFT (PBE-GGA) results for an optimized crystal structure of Ac2ZrNiS5.

energy relative to the elements, uncorrected = -1.724 eV per atom

```
Ac2ZrNiS5
1.0
1.973 -8.459 0.000
1.973 8.459 0.000
0.000 0.000 12.026
Ac Zr Ni S
4 2 2 10
Cartesian
1.973 6.428 6.013
1.973 6.415 1.625
1.973 -6.415 7.638
1.973 -6.428 0.000
1.973 5.435 9.840
1.973 -5.435 3.827
1.973 1.191 2.853
1.973 -1.191 8.866
1.973 7.896 9.974
1.973 3.340 5.667
1.973 3.282 2.076
1.973 2.691 9.845
1.973 0.015 0.902
1.973 -0.015 6.915
1.973 -2.691 3.832
1.973 -3.282 8.089
1.973 -3.340 11.680
1.973 -7.896 3.961
```

---

DFT (PBE-GGA) results for an optimized crystal structure of Mg2Be2Os.

energy relative to the elements = 1.10 eV per formula unit

```
Mg2Be2Os
1.0
5.899 0.000 0.000
0.000 5.899 0.000
0.000 0.000 4.100
Mg Be Os
4 4 2
Cartesian
1.082 1.867 0.000
1.867 4.817 0.000
4.032 1.082 0.000
4.817 4.032 0.000
0.820 3.770 2.050
2.130 0.820 2.050
3.770 5.079 2.050
5.079 2.130 2.050
0.000 0.000 2.050
2.950 2.950 2.050
```